# 1
TbCeSi after structural relaxation. Source: the Alexandria database, functional PBE-GGA.

```
TbCeSi
1.0
4.092 0.000 -0.853
-0.178 4.089 -0.853
-0.289 -0.302 8.852
Ce Tb Si
2 2 2
Cartesian
2.046 0.000 -0.427 Ce
-0.089 2.044 -0.427 Ce
3.024 3.158 4.262 Tb
0.601 0.628 2.883 Tb
2.419 2.527 1.361 Si
1.206 1.260 5.784 Si
```

Summary:
* formation energy (no corrections): -583 meV per atom
* crystal system: tetragonal
* distance to the lowest polymorph of the same formula: 0.000 eV/atom
* symmetry: I4/mmm (139)
* E: -0.2173 hartree per atom
* magnetization: 0.00 μB per formula unit
* calculated volume: 146 Å³ per cell

# 2
TbCeSi after structural relaxation. Source: the Alexandria database, functional PBE-GGA.

```
TbCeSi
1.0
6.221 0.000 0.000
0.000 5.144 -0.203
0.000 -2.394 4.557
Si Ce Tb
2 2 2
Cartesian
1.555 0.117 2.972 Si
4.666 2.633 1.383 Si
3.110 0.000 0.000 Ce
0.000 0.000 0.000 Ce
1.555 2.630 1.385 Tb
4.666 0.120 2.970 Tb
```

Summary:
* formation energy (no corrections): -471 meV per atom
* crystal system: hexagonal
* distance to the lowest polymorph of the same formula: 0.112 eV/atom
* symmetry: P6_3/mmc (194)
* E: -0.2132 hartree per atom
* magnetization: 1.00 μB per formula unit
* calculated volume: 143 Å³ per cell

# 3
TbCeSi4 after structural relaxation. Source: the Alexandria database, functional PBE-GGA.

```
TbCeSi4
1.0
3.858 0.000 -1.191
-0.368 3.841 -1.191
0.266 0.292 7.704
Si Tb Ce
4 1 1
Cartesian
1.675 1.843 5.424 Si
2.081 2.290 -0.103 Si
3.265 1.470 3.731 Si
2.604 0.743 1.590 Si
0.822 3.027 2.661 Tb
0.000 0.000 0.000 Ce
```

Summary:
* formation energy (no corrections): -616 meV per atom
* crystal system: tetragonal
* symmetry: I-4m2 (119)
* E: -0.2202 hartree per atom
* magnetization: 0.00 μB per formula unit
* calculated volume: 117 Å³ per cell

# 4
TbCeSi after structural relaxation. Source: the Alexandria database, functional PBE-GGA.

```
TbCeSi
1.0
4.053 0.000 0.000
0.000 4.680 0.000
0.000 -2.340 4.053
Ce Tb Si
1 1 1
Cartesian
0.142 0.000 0.000 Ce
2.385 2.340 1.351 Tb
1.526 0.000 2.702 Si
```

Summary:
* formation energy (no corrections): -228 meV per atom
* crystal system: trigonal
* distance to the lowest polymorph of the same formula: 0.355 eV/atom
* symmetry: P3m1 (156)
* E: -0.2042 hartree per atom
* magnetization: 1.01 μB per formula unit
* calculated volume: 77 Å³ per cell

# 5
Tb4CeSi4 after structural relaxation. Source: the Alexandria database, functional PBE-GGA.

```
Tb4CeSi4
1.0
-4.144 3.640 -1.709
-6.345 -6.286 1.998
-0.601 3.312 8.511
Si Tb Ce
8 8 2
Cartesian
-6.373 -2.548 7.619 Si
-5.930 4.260 6.345 Si
-3.950 -0.139 1.931 Si
-7.752 -1.462 3.522 Si
-6.119 -0.092 7.289 Si
-1.595 0.472 2.468 Si
-4.361 3.025 4.855 Si
-8.283 -0.851 1.166 Si
-5.830 -2.471 1.522 Tb
-6.060 -3.481 4.876 Tb
-7.936 2.199 6.817 Tb
-3.411 2.762 1.997 Tb
-4.239 2.241 7.699 Tb
-6.278 1.210 0.694 Tb
-8.700 -1.199 6.382 Tb
-1.907 1.404 5.212 Tb
-5.545 0.333 4.400 Ce
0.000 0.000 0.000 Ce
```

Summary:
* formation energy (no corrections): -430 meV per atom
* crystal system: tetragonal
* symmetry: P4_2/n (86)
* E: -0.2042 hartree per atom
* magnetization: 1.29 μB per formula unit
* calculated volume: 484 Å³ per cell

# 6
Tb3Ce2Si4 after structural relaxation. Source: the Alexandria database, functional PBE-GGA.

```
Tb3Ce2Si4
1.0
-6.203 2.769 -3.176
-1.609 -7.309 2.005
-2.469 2.453 6.960
Tb Si Ce
6 8 4
Cartesian
-2.039 -2.428 4.483 Tb
-3.197 -4.406 1.996 Tb
-6.638 -2.685 1.363 Tb
-3.906 -2.270 -0.586 Tb
-3.644 0.597 4.425 Tb
-7.085 2.318 3.792 Tb
-6.198 -0.485 3.345 Si
-3.402 -5.231 4.754 Si
-4.084 -1.603 2.444 Si
-4.881 2.854 5.731 Si
-5.401 -4.942 0.058 Si
-6.880 3.143 1.034 Si
-6.532 -0.868 -0.989 Si
-3.750 -1.220 6.777 Si
-8.998 -1.313 4.422 Ce
-1.284 -0.775 1.367 Ce
-5.541 -3.050 5.008 Ce
-4.741 0.962 0.780 Ce
```

Summary:
* formation energy (no corrections): -697 meV per atom
* crystal system: monoclinic
* symmetry: P2_1/c (14)
* E: -0.2194 hartree per atom
* magnetization: 2.96 μB per formula unit
* calculated volume: 433 Å³ per cell

# 7
Tb2CeSi4 after structural relaxation. Source: the Alexandria database, functional PBE-GGA.

```
Tb2CeSi4
1.0
-3.042 2.203 1.082
-0.957 0.703 -4.123
-3.150 -8.558 1.506
Tb Ce Si
2 1 4
Cartesian
-5.268 -3.056 -1.530 Tb
-1.882 -2.597 -0.006 Tb
-1.521 1.101 0.541 Ce
-1.158 -0.587 -2.064 Si
-3.524 -0.650 -1.525 Si
-5.992 -5.066 0.528 Si
-3.626 -5.003 -0.011 Si
```

Summary:
* formation energy (no corrections): -769 meV per atom
* crystal system: orthorhombic
* symmetry: Immm (71)
* E: -0.2219 hartree per atom
* magnetization: 0.39 μB per formula unit
* calculated volume: 147 Å³ per cell

# 8
Tb5Ce2Si4 after structural relaxation. Source: the Alexandria database, functional PBE-GGA.

```
Tb5Ce2Si4
1.0
-1.315 -2.942 -1.222
4.842 -0.138 -4.882
8.582 -5.122 7.956
Tb Ce Si
5 2 4
Cartesian
-0.658 -1.471 -0.611 Tb
6.186 -6.388 3.861 Tb
5.923 -1.814 -2.009 Tb
4.942 -3.155 2.276 Tb
7.167 -5.047 -0.424 Tb
2.946 -1.296 -0.051 Ce
9.163 -6.905 1.903 Ce
8.618 -7.822 4.698 Si
3.491 -0.379 -2.846 Si
4.524 -3.835 -0.497 Si
7.586 -4.367 2.349 Si
```

Summary:
* formation energy (no corrections): -208 meV per atom
* crystal system: monoclinic
* symmetry: C2/m (12)
* E: -0.1971 hartree per atom
* magnetization: 2.08 μB per formula unit
* calculated volume: 300 Å³ per cell

# 9
TbCeSi after structural relaxation. Source: the Alexandria database, functional PBE-GGA.

```
TbCeSi
1.0
-1.350 3.944 2.557
-4.712 0.704 1.102
-1.530 -0.486 4.619
Ce Tb Si
1 1 1
Cartesian
-3.796 2.081 4.139 Ce
0.000 0.000 0.000 Tb
-1.898 1.040 2.069 Si
```

Summary:
* formation energy (no corrections): -349 meV per atom
* crystal system: cubic
* distance to the lowest polymorph of the same formula: 0.234 eV/atom
* symmetry: F-43m (216)
* E: -0.2087 hartree per atom
* magnetization: 0.74 μB per formula unit
* calculated volume: 83 Å³ per cell

# 10
TbCeSi2 after structural relaxation. Source: the Alexandria database, functional PBE-GGA.

```
TbCeSi2
1.0
-1.709 -2.353 -3.593
-0.115 -4.619 0.107
-5.296 -2.158 0.960
Si Ce Tb
2 1 1
Cartesian
-1.803 -2.282 -0.621 Si
-5.317 -6.849 -1.905 Si
0.000 0.000 0.000 Ce
-3.560 -4.565 -1.263 Tb
```

Summary:
* formation energy (no corrections): -484 meV per atom
* crystal system: trigonal
* distance to the lowest polymorph of the same formula: 0.240 eV/atom
* symmetry: R-3m (166)
* E: -0.2145 hartree per atom
* magnetization: 0.00 μB per formula unit
* calculated volume: 95 Å³ per cell

# 11
TbCeSi after structural relaxation. Source: the Alexandria database, functional PBE-GGA.

```
TbCeSi
1.0
4.582 -0.224 0.830
2.095 4.081 0.830
1.999 1.155 8.828
Tb Ce Si
2 2 2
Cartesian
2.381 1.375 3.711 Tb
6.294 3.636 6.777 Tb
3.749 2.166 8.493 Ce
4.926 2.845 1.995 Ce
6.961 4.021 3.846 Si
1.714 0.990 6.642 Si
```

Summary:
* formation energy (no corrections): -392 meV per atom
* crystal system: monoclinic
* distance to the lowest polymorph of the same formula: 0.191 eV/atom
* symmetry: C2/m (12)
* E: -0.2103 hartree per atom
* magnetization: 0.90 μB per formula unit
* calculated volume: 160 Å³ per cell

# 12
TbCeSi2 after structural relaxation. Source: the Alexandria database, functional PBE-GGA.

```
TbCeSi2
1.0
-2.704 -0.164 3.429
1.740 -3.243 1.217
4.803 3.007 1.146
Si Tb Ce
2 1 1
Cartesian
4.535 0.912 2.118 Si
2.649 1.672 0.668 Si
1.715 -0.414 2.617 Tb
2.776 2.844 3.608 Ce
```

Summary:
* formation energy (no corrections): -724 meV per atom
* crystal system: orthorhombic
* distance to the lowest polymorph of the same formula: 0.000 eV/atom
* symmetry: Amm2 (38)
* E: -0.2233 hartree per atom
* magnetization: 0.66 μB per formula unit
* calculated volume: 91 Å³ per cell